The following is a DFT calculation (GGA-PBEsol) of a relaxed SrNdGaCuO5 crystal.

Values from the calculation:
Formation energy (no corrections) (eV/f.u.): -20.3
Space group: Cm, No. 8
DFT total energy (eV per atom): -6.807

Lattice parameters (Å, degrees): 8.987 8.987 5.255 106.97 106.97 129.96
Element x y z (fractional)
Sr  0.140  0.860  0.000
Sr  0.860  0.140  0.000
Nd  0.313  0.610  0.957
Nd  0.610  0.313  0.957
Ga  0.556  0.556  0.526
Ga  0.926  0.926  0.387
Cu  0.230  0.730  0.479
Cu  0.730  0.230  0.479
O  0.161  0.963  0.593
O  0.339  0.542  0.489
O  0.485  0.971  0.475
O  0.488  0.979  0.980
O  0.542  0.339  0.489
O  0.603  0.603  0.207
O  0.872  0.872  0.979
O  0.963  0.161  0.593
O  0.971  0.485  0.475
O  0.979  0.488  0.980